Here is crystalline NpRu2Pb at its relaxed geometry from Alexandria. Energies are from GGA-PBE. Values from VASP.

Space-group type: P4/mmm (123)
Crystal system: tetragonal
DFT formation energy in eV per formula unit: 0.6
Total moment in μB/f.u.: 2.8

Quantum ESPRESSO input file:
```
&SYSTEM
  ibrav = 0, nat = 4, ntyp = 3
/
ATOMIC_SPECIES
Np 237.00 Np.upf
Ru 101.07 Ru.upf
Pb 207.20 Pb.upf
CELL_PARAMETERS angstrom
4.5325 0.0000 0.0000
0.0000 4.5325 0.0000
0.0000 0.0000 3.6444
ATOMIC_POSITIONS angstrom
Np 0.0000 0.0000 0.0000
Ru 0.0000 2.2662 1.8222
Ru 2.2662 0.0000 1.8222
Pb 2.2662 2.2662 0.0000
```

***

Here is crystalline NpRuPb at its relaxed geometry from Alexandria. Energies are from GGA-PBE. Values from VASP.

Space-group type: P2_1/m (11)
Crystal system: monoclinic
DFT formation energy in eV per formula unit: 0.4
Total moment in μB/f.u.: 2.9

Quantum ESPRESSO input file:
```
&SYSTEM
  ibrav = 0, nat = 6, ntyp = 3
/
ATOMIC_SPECIES
Np 237.00 Np.upf
Ru 101.07 Ru.upf
Pb 207.20 Pb.upf
CELL_PARAMETERS angstrom
5.4042 0.0000 0.0000
0.0000 4.4773 0.0000
-1.6486 0.0000 5.5026
ATOMIC_POSITIONS angstrom
Np -0.0986 1.1193 0.8338
Np 3.8543 3.3580 4.6688
Ru 0.0010 3.3580 2.2511
Ru 3.7546 1.1193 3.2515
Pb 1.0676 1.1193 4.1441
Pb 2.6880 3.3580 1.3585
```

***

Here is crystalline Np6PbS8 at its relaxed geometry from Alexandria. Energies are from GGA-PBE. Values from VASP.

Space-group type: R-3 (148)
Crystal system: trigonal
Total moment in μB/f.u.: 1.8
Raw formation energy in eV/atom: -0.767

Quantum ESPRESSO input file:
```
&SYSTEM
  ibrav = 0, nat = 15, ntyp = 3
/
ATOMIC_SPECIES
Np 237.00 Np.upf
Pb 207.20 Pb.upf
S 32.06 S.upf
CELL_PARAMETERS angstrom
5.5250 3.1899 3.7208
-5.5250 3.1899 3.7208
0.0000 -6.3797 3.7208
ATOMIC_POSITIONS angstrom
Np -1.4408 -1.3572 4.8862
Np -1.8957 0.5691 6.2762
Np -0.4550 1.9263 4.8862
Np 0.4550 -1.9263 6.2762
Np 1.8957 -0.5691 4.8862
Np 1.4407 1.3572 6.2762
Pb 0.0000 0.0000 0.0000
S -3.6319 0.0551 4.2442
S 0.0000 0.0000 3.0498
S -1.8637 -3.1178 6.9182
S 1.7683 -3.1729 4.2442
S -1.7683 3.1729 6.9182
S 1.8637 3.1178 4.2442
S 0.0000 0.0000 8.1126
S 3.6319 -0.0551 6.9182
```

***

Here is crystalline NpPb2S4 at its relaxed geometry from Alexandria. Energies are from GGA-PBE. Values from VASP.

Distance to the lowest polymorph of the same formula in kJ/mol of formula units: 0
Space-group type: Pbam (55)
Crystal system: orthorhombic
Total moment in μB/f.u.: 3.0
Raw formation energy in eV/atom: -0.840

Quantum ESPRESSO input file:
```
&SYSTEM
  ibrav = 0, nat = 14, ntyp = 3
/
ATOMIC_SPECIES
Np 237.00 Np.upf
Pb 207.20 Pb.upf
S 32.06 S.upf
CELL_PARAMETERS angstrom
7.3360 0.0000 0.0000
0.0000 12.7693 0.0000
0.0000 0.0000 4.1035
ATOMIC_POSITIONS angstrom
Np 0.0000 0.0000 0.0000
Np 3.6680 6.3847 0.0000
Pb 0.8621 4.2393 2.0517
Pb 2.8059 10.6239 2.0517
Pb 4.5301 2.1454 2.0517
Pb 6.4739 8.5301 2.0517
S 0.8898 10.2374 0.0000
S 1.7148 0.4956 2.0517
S 1.9532 6.8802 2.0517
S 2.7782 3.8527 0.0000
S 4.5579 8.9166 0.0000
S 5.3828 5.8891 2.0517
S 5.6213 12.2737 2.0517
S 6.4462 2.5320 0.0000
```

***

Here is crystalline NpPb2S4 at its relaxed geometry from Alexandria. Energies are from GGA-PBE. Values from VASP.

Distance to the lowest polymorph of the same formula in kJ/mol of formula units: 57
Space-group type: Cmcm (63)
Crystal system: orthorhombic
Total moment in μB/f.u.: 3.0
Raw formation energy in eV/atom: -0.755

Quantum ESPRESSO input file:
```
&SYSTEM
  ibrav = 0, nat = 14, ntyp = 3
/
ATOMIC_SPECIES
Np 237.00 Np.upf
Pb 207.20 Pb.upf
S 32.06 S.upf
CELL_PARAMETERS angstrom
1.9313 -7.1052 0.0000
1.9313 7.1052 0.0000
0.0000 0.0000 13.3447
ATOMIC_POSITIONS angstrom
Np 1.9313 5.4129 10.0085
Np 1.9313 -5.4129 3.3362
Pb 1.9313 1.8355 7.5810
Pb 1.9313 1.8355 12.4360
Pb 1.9313 -1.8355 0.9087
Pb 1.9313 -1.8355 5.7637
S 0.0000 0.0000 0.0000
S 0.0000 0.0000 6.6724
S 1.9313 2.9399 1.7571
S 1.9313 2.9399 4.9152
S 1.9313 0.1716 10.0085
S 1.9313 -0.1716 3.3362
S 1.9313 -2.9399 8.4295
S 1.9313 -2.9399 11.5876
```

***

Here is crystalline Np2Pb2S7 at its relaxed geometry from Alexandria. Energies are from GGA-PBE. Values from VASP.

Space-group type: Imm2 (44)
Crystal system: orthorhombic
Total moment in μB/f.u.: 6.0
Raw formation energy in eV/atom: -0.824

Quantum ESPRESSO input file:
```
&SYSTEM
  ibrav = 0, nat = 11, ntyp = 3
/
ATOMIC_SPECIES
Np 237.00 Np.upf
Pb 207.20 Pb.upf
S 32.06 S.upf
CELL_PARAMETERS angstrom
-2.0446 7.6585 4.4538
2.0446 -7.6585 4.4538
2.0446 7.6585 -4.4538
ATOMIC_POSITIONS angstrom
Np 0.0000 0.0000 0.0000
Np 0.0000 7.6585 0.1586
Pb 2.0446 4.6462 -2.0875
Pb 0.0000 3.0123 2.3663
S 2.0446 1.7139 0.1776
S 2.0446 -2.6903 4.2108
S 0.0000 0.0000 2.7640
S 2.0446 6.6176 1.7827
S 2.0446 2.6903 4.2108
S 0.0000 1.0408 6.2366
S 0.0000 5.9446 4.6314
```

***

Here is crystalline Np3Pb5S12 at its relaxed geometry from Alexandria. Energies are from GGA-PBE. Values from VASP.

Space-group type: Ia-3d (230)
Crystal system: cubic
Total moment in μB/f.u.: 9.7
Raw formation energy in eV/atom: -0.587

Quantum ESPRESSO input file:
```
&SYSTEM
  ibrav = 0, nat = 80, ntyp = 3
/
ATOMIC_SPECIES
Np 237.00 Np.upf
Pb 207.20 Pb.upf
S 32.06 S.upf
CELL_PARAMETERS angstrom
-8.1494 8.1494 8.1494
8.1494 -8.1494 8.1494
8.1494 8.1494 -8.1494
ATOMIC_POSITIONS angstrom
Np 4.0747 2.0373 0.0000
Np 8.1494 4.0747 -2.0373
Np 2.0373 0.0000 4.0747
Np 10.1867 0.0000 4.0747
Np 0.0000 4.0747 2.0373
Np 4.0747 -2.0373 8.1494
Np 4.0747 10.1867 0.0000
Np 8.1494 4.0747 6.1120
Np -2.0373 8.1494 4.0747
Np 6.1120 8.1494 4.0747
Np 0.0000 4.0747 10.1867
Np 4.0747 6.1120 8.1494
Pb 0.0000 0.0000 0.0000
Pb 4.0747 4.0747 -4.0747
Pb 4.0747 -4.0747 4.0747
Pb 8.1494 0.0000 0.0000
Pb 12.2241 2.0373 0.0000
Pb 8.1494 -4.0747 6.1120
Pb 6.1120 8.1494 -4.0747
Pb 6.1120 0.0000 4.0747
Pb 4.0747 6.1120 0.0000
Pb 8.1494 4.0747 2.0373
Pb -4.0747 4.0747 4.0747
Pb 0.0000 8.1494 0.0000
Pb 0.0000 0.0000 8.1494
Pb 4.0747 4.0747 4.0747
Pb 0.0000 4.0747 6.1120
Pb 4.0747 2.0373 8.1494
Pb 2.0373 8.1494 4.0747
Pb 2.0373 0.0000 12.2241
Pb 0.0000 12.2241 2.0373
Pb -4.0747 6.1120 8.1494
S 2.5566 -0.1818 1.2031
S 9.6675 5.2778 -4.2565
S 7.9676 -1.2031 2.5566
S 12.4059 -1.5181 2.8716
S 10.7060 0.1818 1.2031
S 9.6675 -2.8716 4.2565
S 1.2031 2.5566 -0.1818
S 11.0210 3.8929 -1.5181
S 5.2778 4.2565 -1.5181
S 6.9463 2.5566 0.1818
S -0.1818 1.2031 2.5566
S 4.2565 -1.5181 5.2778
S 7.9676 6.9463 -2.5566
S 4.2565 1.5181 2.8716
S 6.9463 -2.5566 7.9676
S 5.2778 -4.2565 9.6675
S 2.8716 4.2565 1.5181
S 9.3525 5.5928 0.1818
S 2.5566 7.9676 -1.2031
S 9.6675 2.8716 3.8929
S 4.2565 9.6675 -2.8716
S 7.9676 1.2031 5.5928
S 1.5181 2.8716 4.2565
S 2.5566 0.1818 6.9463
S 5.5928 7.9676 1.2031
S 6.6313 5.2778 3.8929
S 0.1818 6.9463 2.5566
S 3.8929 -1.5181 11.0210
S -1.5181 5.2778 4.2565
S 5.5928 0.1818 9.3525
S -1.2031 2.5566 7.9676
S 5.2778 3.8929 6.6313
S 2.8716 12.4059 -1.5181
S 1.2031 10.7060 0.1818
S 3.8929 6.6313 5.2778
S 0.1818 1.2031 10.7060
S 3.8929 9.6675 2.8716
S 8.3312 6.9463 5.5928
S 1.2031 5.5928 7.9676
S 2.8716 3.8929 9.6675
S -2.8716 4.2565 9.6675
S 6.9463 5.5928 8.3312
S -1.5181 11.0210 3.8929
S -2.5566 7.9676 6.9463
S -4.2565 9.6675 5.2778
S 0.1818 9.3525 5.5928
S -1.5181 2.8716 12.4059
S 5.5928 8.3312 6.9463
```

***

Here is crystalline NpScPb2S6 at its relaxed geometry from Alexandria. Energies are from GGA-PBE. Values from VASP.

Space-group type: P2_1/c (14)
Crystal system: monoclinic
Total moment in μB/f.u.: 2.0
Raw formation energy in eV/atom: -1.027

Quantum ESPRESSO input file:
```
&SYSTEM
  ibrav = 0, nat = 20, ntyp = 4
/
ATOMIC_SPECIES
Np 237.00 Np.upf
Sc 44.96 Sc.upf
Pb 207.20 Pb.upf
S 32.06 S.upf
CELL_PARAMETERS angstrom
6.8267 0.0000 0.0000
0.0000 7.2183 0.0000
-6.7087 0.0000 9.8921
ATOMIC_POSITIONS angstrom
Np 0.0000 0.0000 0.0000
Np -3.3544 3.6092 4.9461
Sc 0.0590 0.0000 4.9461
Sc 3.4134 3.6092 0.0000
Pb -3.1509 0.5438 7.4630
Pb 0.2035 3.0654 2.5169
Pb -0.0855 4.1529 7.3752
Pb 3.2689 6.6746 2.4292
S -0.7320 0.1858 2.4920
S -4.0863 3.4234 7.4381
S 1.3240 5.0284 0.5694
S -2.0304 5.7991 5.5155
S 2.1149 1.4297 0.5342
S -1.2395 2.1794 5.4802
S 1.3575 5.0389 4.4119
S -1.9969 5.7886 9.3580
S 2.1484 1.4192 4.3767
S -1.2060 2.1899 9.3227
S 4.2043 3.7950 2.4541
S 0.8500 7.0325 7.4001
```